(1)
# PrEr2Pu

A relaxed PrEr2Pu crystal (PBE, Alexandria).

Lattice parameters (Å, degrees): 5.621 5.621 5.621 60.00 60.00 60.00
Each line ends with the local moment (μB).
Sites, in units of the cell vectors:
Pr 0.500 0.500 0.499  0.26
Er 0.000 0.000 0.000  0.33
Er 0.250 0.250 0.250  0.36
Pu 0.750 0.750 0.750  5.63

For the energy above the most stable polymorph in this dataset, the calculation gives 0.109 eV/atom.


(2)
# Pr4Er5Pu

A relaxed Pr4Er5Pu crystal (PBE, Alexandria).

Lattice parameters (Å, degrees): 5.390 8.430 9.322 120.68 106.81 90.00
Each line ends with the local moment (μB).
Sites, in units of the cell vectors:
Pr 0.324 0.048 0.648  -0.03
Pr 0.982 0.184 0.964  -0.09
Pr 0.676 0.952 0.352  -0.03
Pr 0.018 0.816 0.036  -0.09
Er 0.856 0.369 0.712  0.12
Er 0.788 0.699 0.577  0.07
Er 0.212 0.301 0.423  0.07
Er 0.500 0.500 0.000  0.08
Er 0.144 0.631 0.288  0.12
Pu 0.500 0.000 0.000  -5.63


no.,energy of formation (eV/atom)
1,0.21
2,0.31